PBE RbYZr, optimized geometry; energy = -5.00 eV per atom; formation energy = 322.5 meV/atom; density of states at the Fermi level = 7.64 states/eV/cell; space group = No. 11
1.0
3.529 0.000 0.000
0.000 5.172 0.000
-1.588 0.000 13.798
Rb Y Zr
2 2 2
direct
0.160 0.250 0.360
0.840 0.750 0.640
0.434 0.250 0.852
0.566 0.750 0.148
0.022 0.250 0.049
0.978 0.750 0.951